The following is a DFT calculation (GGA-PBE) of a relaxed structure of CsHgPb.

Properties
- volume (A^3/atom) = 45.379
- ΔE to the lowest computed polymorph (meV/atom) = 96.9

Cell lengths 8.166, 8.166, 8.166 Å; angles 90.00, 90.00, 90.00 degrees
Space group F-43m (No. 216)
Inequivalent atoms, fractional coordinates:
Cs (0.000, 0.000, 0.000) [4 per cell]
Hg (0.000, 0.000, 0.500) [4 per cell]
Pb (0.250, 0.250, 0.250) [4 per cell]

---

The following is a DFT calculation (GGA-PBE) of a relaxed structure of CsRb3Hg2Pb2.

Properties
- volume (A^3/atom) = 44.604
- E (Ry per atom) = -0.1235

Cell lengths 7.221, 7.017, 7.332 Å; angles 90.00, 106.15, 90.00 degrees
Space group Pm (No. 6)
Inequivalent atoms, fractional coordinates:
Cs (0.000, 0.000, 0.000) [1 per cell]
Rb (0.040, 0.500, 0.343) [1 per cell]
Rb (0.343, 0.000, 0.652) [1 per cell]
Rb (0.689, 0.500, 0.685) [1 per cell]
Hg (0.523, 0.250, 0.167) [2 per cell]
Pb (0.253, 0.500, 0.902) [1 per cell]
Pb (0.779, 0.000, 0.445) [1 per cell]

---

The following is a DFT calculation (GGA-PBE) of a relaxed structure of Cs3RbHg2Pb2.

Properties
- volume (A^3/atom) = 46.987
- E (Ry per atom) = -0.1222

Cell lengths 7.359, 7.162, 7.474 Å; angles 90.00, 107.39, 90.00 degrees
Space group Pm (No. 6)
Inequivalent atoms, fractional coordinates:
Cs (0.000, 0.000, 0.000) [1 per cell]
Cs (0.029, 0.500, 0.338) [1 per cell]
Cs (0.347, 0.000, 0.665) [1 per cell]
Rb (0.690, 0.500, 0.682) [1 per cell]
Hg (0.513, 0.250, 0.176) [2 per cell]
Pb (0.264, 0.500, 0.902) [1 per cell]
Pb (0.778, 0.000, 0.435) [1 per cell]

---

Please write out number 1 again, unchanged.
The following is a DFT calculation (GGA-PBE) of a relaxed structure of CsHgPb.

Properties
- volume (A^3/atom) = 45.379
- ΔE to the lowest computed polymorph (meV/atom) = 96.9

Cell lengths 8.166, 8.166, 8.166 Å; angles 90.00, 90.00, 90.00 degrees
Space group F-43m (No. 216)
Inequivalent atoms, fractional coordinates:
Cs (0.000, 0.000, 0.000) [4 per cell]
Hg (0.000, 0.000, 0.500) [4 per cell]
Pb (0.250, 0.250, 0.250) [4 per cell]

---

Question: Look up the volume of the first one.
Answer: 45.379 A^3/atom